[1]
KNpSeO: optimized geometry, GGA-PBE.

Computed properties:
formation energy without anion corrections	-1670.3	meV/atom
SG	R3m (160)
E	-7.2905	eV/atom
volume	91.2	Å³/cell

The structure in POSCAR format:
```
KNpSeO
1.0
-2.379 1.550 2.549
0.095 -1.143 3.639
4.146 5.242 3.539
Se K Np O
1 1 1 1
Cartesian
1.608 4.456 7.359
0.847 2.737 4.838
-2.034 0.667 6.264
0.087 1.019 2.318
```


[2]
KNp2SeO4: optimized geometry, GGA-PBE.

Computed properties:
formation energy without anion corrections	-2297.6	meV/atom
SG	P4/mmm (123)
E	-8.5846	eV/atom
volume	142.4	Å³/cell

The structure in POSCAR format:
```
KNp2SeO4
1.0
3.839 0.000 0.000
0.000 3.839 0.000
0.000 0.000 9.663
Np O K Se
2 4 1 1
Cartesian
1.919 1.919 6.796
1.919 1.919 2.867
0.000 1.919 1.992
1.919 0.000 7.671
0.000 1.919 7.671
1.919 0.000 1.992
0.000 0.000 0.000
0.000 0.000 4.832
```


| no. | M_tot (μB per atom) | Fermi-level density of states (states/eV/f.u.) |
| --- | --- | --- |
| 1 | 1.000 | 9.138 |
| 2 | 0.625 | 15.342 |